1.
## YHo5Er7 (PBE)

Data for an optimized crystal structure of YHo5Er7.

Geometry as POSCAR:
```
YHo5Er7
1.0
-3.3167 5.5201 5.7146
3.3167 -5.5201 5.7146
3.3167 5.5201 -5.7146
Y Ho Er
1 5 7
Direct
0.0000 0.0000 0.0000 Y
0.0310 0.0355 0.4598 Ho
0.0310 0.5711 0.9954 Ho
0.2979 0.7979 0.5000 Ho
0.5757 0.0355 0.0046 Ho
0.5757 0.5711 0.5402 Ho
0.2244 0.5513 0.6730 Er
0.3101 0.3101 0.0000 Er
0.3848 0.0525 0.3323 Er
0.6143 0.6143 0.0000 Er
0.7203 0.0525 0.6677 Er
0.8036 0.3036 0.5000 Er
0.8783 0.5513 0.3270 Er
```

E_form = 3.33 eV/f.u.
Space-group type = Imm2, No. 44

=====

2.
## Tm3TiTl3O8 (PBE)

Data for an optimized crystal structure of Tm3TiTl3O8.

Geometry as POSCAR:
```
Tm3TiTl3O8
1.0
3.3310 1.9232 6.5511
-3.3310 1.9232 6.5511
0.0000 -3.8463 6.5511
Tm Ti Tl O
3 1 3 8
Direct
0.0000 0.5000 0.5000 Tm
0.5000 0.0000 0.5000 Tm
0.5000 0.5000 0.0000 Tm
0.0000 0.0000 0.0000 Ti
0.0000 0.0000 0.5000 Tl
0.0000 0.5000 0.0000 Tl
0.5000 0.0000 0.0000 Tl
0.2049 0.2049 0.7502 O
0.2049 0.7502 0.2049 O
0.2498 0.7951 0.7951 O
0.2780 0.2780 0.2780 O
0.7220 0.7220 0.7220 O
0.7502 0.2049 0.2049 O
0.7951 0.2498 0.7951 O
0.7951 0.7951 0.2498 O
```

Space-group type = R-3m, No. 166
Uncorrected formation energy = -2.53 eV per atom

=====

3.
## MoRuSe (PBE)

Data for an optimized crystal structure of MoRuSe.

Geometry as POSCAR:
```
MoRuSe
1.0
-1.5044 1.5044 5.0319
1.5044 -1.5044 5.0319
1.5044 1.5044 -5.0319
Mo Ru Se
1 1 1
Direct
0.0000 0.0000 0.0000 Mo
0.3305 0.3305 0.0000 Ru
0.6590 0.6590 0.0000 Se
```

Relative energy among the computed polymorphs = 0 meV per atom
Space-group type = I4mm, No. 107
Uncorrected formation energy = 0.06 eV per atom

=====

4.
## PrY2Ga (PBE)

Data for an optimized crystal structure of PrY2Ga.

Geometry as POSCAR:
```
PrY2Ga
1.0
1.8307 1.0569 10.3367
-1.8307 1.0569 10.3367
0.0000 -2.1139 10.3367
Pr Y Ga
1 2 1
Direct
0.0000 0.0000 0.0000 Pr
0.2361 0.2361 0.2361 Y
0.4317 0.4317 0.4317 Y
0.8342 0.8342 0.8342 Ga
```

Relative energy among the computed polymorphs = 92 meV per atom
E_form = -0.83 eV/f.u.
Space-group type = R3m, No. 160

=====

5.
## Eu2YAl (PBE)

Data for an optimized crystal structure of Eu2YAl.

Geometry as POSCAR:
```
Eu2YAl
1.0
1.7795 1.0274 11.9306
-1.7795 1.0274 11.9306
0.0000 -2.0548 11.9306
Eu Y Al
2 1 1
Direct
0.0969 0.0969 0.0969 Eu
0.9031 0.9031 0.9031 Eu
0.0000 0.0000 0.0000 Y
0.5000 0.5000 0.5000 Al
```

Relative energy among the computed polymorphs = 259 meV per atom
E_form = 0.78 eV/f.u.
Space-group type = R-3m, No. 166

=====

6.
## Ce2Pu3ScS6 (PBE)

Data for an optimized crystal structure of Ce2Pu3ScS6.

Geometry as POSCAR:
```
Ce2Pu3ScS6
1.0
8.5492 -1.9626 0.0000
8.5492 1.9626 0.0000
-1.7311 0.0000 7.6833
Ce Pu Sc S
2 3 1 6
Direct
0.1650 0.1650 0.3348 Ce
0.8350 0.8350 0.6652 Ce
0.1681 0.1681 0.8350 Pu
0.5000 0.5000 0.5000 Pu
0.8319 0.8319 0.1650 Pu
0.5000 0.5000 0.0000 Sc
0.0024 0.0024 0.7641 S
0.3339 0.3339 0.4103 S
0.3386 0.3386 0.9233 S
0.6614 0.6614 0.0767 S
0.6661 0.6661 0.5897 S
0.9976 0.9976 0.2359 S
```

Space-group type = C2/m, No. 12
Uncorrected formation energy = -1.87 eV per atom

=====

no.,E_tot (eV per atom),calculated density (g/cm3)
1,-4.459,8.27
2,-7.071,8.54
3,-7.808,10.06
4,-5.391,5.38
5,-7.493,5.33
6,-9.030,8.05